# GaMoIO2 PBE+U relaxed
data_GaMoIO2
_cell_length_a 3.980
_cell_length_b 3.980
_cell_length_c 5.954
_cell_angle_alpha 90.00
_cell_angle_beta 90.00
_cell_angle_gamma 90.00
_space_group_name_H-M_alt 'P 4/m m m'
_space_group_IT_number 123
_space_group_name_Hall '-P 4 2'
loop_
_atom_site_label
_atom_site_type_symbol
_atom_site_fract_x
_atom_site_fract_y
_atom_site_fract_z
Ga1 Ga 0.000 0.000 0.000
Mo1 Mo 0.500 0.500 0.500
I1 I 0.000 0.000 0.500
O1 O 0.000 0.500 0.000
# raw total energy	-4.416	eV/atom
# N(E_F)	0.55	states/eV/atom
# energy above the lowest structure with this stoichiometry	2.62	eV per formula unit
# size of the total moment	4.96	μB/f.u.